# NaTe2I8

Crystalline NaTe2I8 at its relaxed geometry (PBE, Alexandria). Values from VASP.

```
&SYSTEM
  ibrav = 0, nat = 11, ntyp = 3
/
ATOMIC_SPECIES
Na 22.99 Na.upf
Te 127.60 Te.upf
I 126.90 I.upf
CELL_PARAMETERS angstrom
8.2647 0.6559 0.5610
1.8667 8.4393 -0.1104
1.8667 1.1991 8.3544
ATOMIC_POSITIONS crystal
Na 0.0000 0.0000 0.0000
Te 0.3659 0.1390 0.1390
Te 0.6341 0.8610 0.8610
I 0.7996 0.1142 0.7034
I 0.2004 0.2966 0.8858
I 0.6540 0.2162 0.2162
I 0.3460 0.7838 0.7838
I 0.7996 0.7034 0.1142
I 0.2004 0.8858 0.2966
I 0.1189 0.3809 0.3809
I 0.8811 0.6191 0.6191
```

Output
Total magnetic moment: 0.00 Bohr magnetons per cell
ρ: 3.8 g/cm3
Symmetry: C2/m, No. 12
Energy relative to the elements, uncorrected: -237 kJ/mol of formula units
Crystal system: monoclinic
V: 51.4 A^3/atom